1.
VASP calculation (PBE-GGA) on a relaxed Cs3DyCu2Br9 crystal.

```
Cs3DyCu2Br9
1.0
7.718 0.000 0.000
-3.859 6.684 0.000
0.000 0.000 9.540
Cs Dy Cu Br
3 1 2 9
Cartesian
0.000 0.000 0.000
0.000 4.456 6.405
3.859 2.228 3.135
0.000 0.000 4.770
0.000 4.456 1.261
3.859 2.228 8.280
-1.929 3.342 0.000
0.000 2.281 3.144
-1.884 5.544 3.144
1.975 1.140 6.396
3.859 0.000 0.000
1.929 3.342 0.000
1.884 5.544 3.144
5.743 1.140 6.396
3.859 4.403 6.396
```

Results
**ΔE_f (raw)**: -1.3104 eV per atom
**Total magnetic moment**: 0.07 μB/atom
**Density**: 4.75 Mg/m³

***

2.
VASP calculation (PBE-GGA) on a relaxed TlCd2Sn2 crystal.

```
TlCd2Sn2
1.0
-2.425 2.425 6.258
2.425 -2.425 6.258
2.425 2.425 -6.258
Tl Cd Sn
1 2 2
Cartesian
0.000 0.000 0.000
2.425 0.000 3.129
0.000 2.425 3.129
0.000 0.000 4.839
0.000 0.000 7.677
```

Results
**Energy of formation**: 40 meV per atom
**Total magnetic moment**: 0.00 μB/atom
**Density**: 7.52 Mg/m³

***

3.
VASP calculation (PBE-GGA) on a relaxed MgTeOs2 crystal.

```
MgTeOs2
1.0
-1.972 1.972 4.242
1.972 -1.972 4.242
1.972 1.972 -4.242
Mg Te Os
1 1 2
Cartesian
0.000 0.000 0.000
0.000 1.972 2.121
1.972 0.000 2.121
0.000 0.000 4.242
```

Results
**ΔE_f (raw)**: 0.6369 eV per atom
**Total magnetic moment**: 0.00 μB/atom
**Density**: 13.40 Mg/m³

***

4.
VASP calculation (PBE-GGA) on a relaxed CaIn2Re crystal.

```
CaIn2Re
1.0
0.000 3.500 3.500
3.500 0.000 3.500
3.500 3.500 0.000
Ca In Re
1 2 1
Cartesian
0.000 0.000 0.000
3.500 3.500 3.500
5.250 5.250 5.250
1.750 1.750 1.750
```

Results
**Energy of formation**: 598 meV per atom
**Total magnetic moment**: 0.00 μB/atom
**Density**: 8.83 Mg/m³

***

5.
VASP calculation (PBE-GGA) on a relaxed Zn2SiGeAs4 crystal.

```
Zn2SiGeAs4
1.0
-2.822 2.822 5.742
2.822 -2.822 5.742
2.822 2.822 -5.742
Zn Si Ge As
2 1 1 4
Cartesian
2.822 0.000 2.871
0.000 2.822 2.871
0.000 0.000 0.000
0.000 0.000 5.742
1.453 -1.453 4.294
1.369 1.369 1.449
-1.453 1.453 4.294
1.453 1.453 7.191
```

Results
**ΔE_f (raw)**: -0.1480 eV per atom
**Total magnetic moment**: 0.00 μB/atom
**Density**: 4.82 Mg/m³

***

6.
VASP calculation (PBE-GGA) on a relaxed Tb2NdEr6 crystal.

```
Tb2NdEr6
1.0
10.603 0.000 0.000
0.000 10.603 0.000
0.000 0.000 5.010
Tb Nd Er
4 2 12
Cartesian
1.778 1.778 0.000
3.523 7.080 2.505
7.080 3.523 2.505
8.825 8.825 0.000
0.000 0.000 2.505
5.302 5.302 0.000
0.004 3.548 2.505
10.599 7.055 2.505
1.754 5.306 0.000
1.780 8.823 0.000
3.522 3.522 2.505
3.548 0.004 2.505
5.306 1.754 0.000
5.297 8.849 0.000
7.055 10.599 2.505
7.081 7.081 2.505
8.823 1.780 0.000
8.849 5.297 0.000
```

Results
**Energy of formation**: 22 meV per atom
**Total magnetic moment**: 0.00 μB/atom
**Density**: 8.64 Mg/m³

***

7.
VASP calculation (PBE-GGA) on a relaxed LiTe3Se crystal.

```
LiTe3Se
1.0
5.523 0.000 0.000
0.000 5.523 0.000
0.000 0.000 5.523
Li Te Se
1 3 1
Cartesian
0.000 0.000 0.000
0.000 2.762 2.762
2.762 0.000 2.762
2.762 2.762 0.000
2.762 2.762 2.762
```

Results
**ΔE_f (raw)**: 0.1802 eV per atom
**Total magnetic moment**: 0.00 μB/atom
**Density**: 4.62 Mg/m³

***

8.
VASP calculation (PBE-GGA) on a relaxed MgCoSe2 crystal.

```
MgCoSe2
1.0
1.788 -4.312 0.000
1.788 4.312 0.000
0.000 0.000 7.023
Mg Co Se
1 1 2
Cartesian
0.000 0.000 0.000
0.000 0.000 3.511
1.788 0.000 1.908
1.788 0.000 5.114
```

Results
**ΔE_f (raw)**: -0.1816 eV per atom
**Total magnetic moment**: 0.51 μB/atom
**Density**: 3.70 Mg/m³